Material: TbAlNiRu
Method: DFT, PBE-GGA
State: optimized geometry

Summary:
electronic total energy = -6.27 eV per atom
mass density = 8806 kg/m³

Geometry as CIF:
```
data_TbAlNiRu
_chemical_formula_sum 'Tb4 Al4 Ni4 Ru4'
_space_group_name_H-M_alt 'F -4 3 m'
_space_group_IT_number 216
_space_group_name_Hall 'F -4 2 3'
_cell_length_a 6.3884
_cell_length_b 6.3884
_cell_length_c 6.3884
_cell_angle_alpha 90.00
_cell_angle_beta 90.00
_cell_angle_gamma 90.00
loop_
_atom_site_label
_atom_site_fract_x
_atom_site_fract_y
_atom_site_fract_z
Tb1 0.0000 0.0000 0.0000
Al1 0.0000 0.0000 0.5000
Ni1 0.2500 0.2500 0.2500
Ru1 0.2500 0.2500 0.7500
```